# NdHo4Tc

Crystalline NdHo4Tc at its relaxed geometry (PBE, Alexandria via LeMat-Bulk).

a = 3.748 Å, b = 8.807 Å, c = 20.511 Å
α = 90.00°, β = 90.00°, γ = 90.00°
Element x y z (fractional)
Ho 0.750 0.991 0.934
Ho 0.750 0.867 0.457
Ho 0.750 0.851 0.641
Ho 0.250 0.133 0.543
Ho 0.250 0.009 0.066
Ho 0.750 0.960 0.206
Ho 0.750 0.491 0.566
Ho 0.250 0.540 0.706
Ho 0.750 0.351 0.859
Ho 0.250 0.649 0.141
Ho 0.250 0.040 0.794
Ho 0.250 0.149 0.359
Ho 0.250 0.633 0.957
Ho 0.250 0.509 0.434
Ho 0.750 0.367 0.043
Ho 0.750 0.460 0.294
Tc 0.250 0.739 0.545
Tc 0.750 0.761 0.045
Tc 0.750 0.261 0.455
Tc 0.250 0.239 0.955
Nd 0.750 0.727 0.812
Nd 0.250 0.273 0.188
Nd 0.250 0.773 0.312
Nd 0.750 0.227 0.688

Calculated values
- Size of the total moment: 0.0 μB/cell
- ΔE_f: -0.018 eV per atom
- Uncorrected energy: -5.5925 eV per atom